The following is a DFT calculation (PBE-GGA) of a relaxed structure of Be2HgSb.

The structure in POSCAR format:
```
Be2HgSb
1.0
6.605 0.000 0.000
0.000 3.819 0.000
-2.182 0.000 6.188
Be Hg Sb
4 2 2
direct
0.000 0.000 0.000
0.200 0.500 0.102
0.500 0.500 0.000
0.700 0.000 0.102
0.128 0.000 0.374
0.628 0.500 0.374
0.277 0.000 0.829
0.777 0.500 0.829
```

Properties
DOS at the Fermi energy = 2.0 states/eV/cell
SG = No. 8
ΔE_f (raw) = 0.30 eV/atom